# CaCrPd PBE-GGA relaxed
# * E above lowest polymorph: 0.017 eV per atom
# * ΔE_f: -71 meV/atom
# * electronic total energy: -68.13 eV for the cell shown
# * Fermi-level density of states: 11.2 states/eV per cell
data_CaCrPd
_cell_length_a 5.643
_cell_length_b 5.748
_cell_length_c 7.522
_cell_angle_alpha 90.00
_cell_angle_beta 90.00
_cell_angle_gamma 90.00
_symmetry_space_group_name_H-M 'I m m a'
_symmetry_Int_Tables_number 74
_symmetry_space_group_name_Hall '-I 2b 2'
loop_
_atom_site_label
_atom_site_type_symbol
_atom_site_fract_x
_atom_site_fract_y
_atom_site_fract_z
_atom_site_occupancy
Ca1 Ca 0.000 0.250 0.132 1
Cr1 Cr 0.250 0.250 0.750 1
Pd1 Pd 0.000 0.000 0.500 1

---

# CaBi12Pd4 PBE-GGA relaxed
# * ΔE_f: -235 meV/atom
# * electronic total energy: -146.69 eV for the cell shown
# * Fermi-level density of states: 18.2 states/eV per cell
data_CaBi12Pd4
_cell_length_a 10.001
_cell_length_b 10.001
_cell_length_c 10.001
_cell_angle_alpha 90.00
_cell_angle_beta 90.00
_cell_angle_gamma 90.00
_symmetry_space_group_name_H-M 'I m -3'
_symmetry_Int_Tables_number 204
_symmetry_space_group_name_Hall '-I 2 2 3'
loop_
_atom_site_label
_atom_site_type_symbol
_atom_site_fract_x
_atom_site_fract_y
_atom_site_fract_z
_atom_site_occupancy
Ca1 Ca 0.000 0.000 0.000 1
Bi1 Bi 0.000 0.337 0.159 1
Pd1 Pd 0.250 0.250 0.250 1

---

# BaY2Tl3 PBE-GGA relaxed
# * ΔE_f: -379 meV/atom
# * electronic total energy: -24.22 eV for the cell shown
# * Fermi-level density of states: 3.0 states/eV per cell
data_BaY2Tl3
_cell_length_a 3.897
_cell_length_b 3.897
_cell_length_c 12.219
_cell_angle_alpha 90.00
_cell_angle_beta 90.00
_cell_angle_gamma 90.00
_symmetry_space_group_name_H-M 'P 4/m m m'
_symmetry_Int_Tables_number 123
_symmetry_space_group_name_Hall '-P 4 2'
loop_
_atom_site_label
_atom_site_type_symbol
_atom_site_fract_x
_atom_site_fract_y
_atom_site_fract_z
_atom_site_occupancy
Ba1 Ba 0.000 0.000 0.000 1
Y1 Y 0.000 0.000 0.347 1
Tl1 Tl 0.500 0.500 0.200 1
Tl2 Tl 0.500 0.500 0.500 1

---

# RbGaAgAu2 PBE-GGA relaxed
# * E above lowest polymorph: 0.522 eV per atom
# * ΔE_f: 440 meV/atom
# * electronic total energy: -11.20 eV for the cell shown
# * Fermi-level density of states: 2.6 states/eV per cell
data_RbGaAgAu2
_cell_length_a 5.318
_cell_length_b 5.318
_cell_length_c 5.800
_cell_angle_alpha 90.00
_cell_angle_beta 90.00
_cell_angle_gamma 90.00
_symmetry_space_group_name_H-M 'P 4/m m m'
_symmetry_Int_Tables_number 123
_symmetry_space_group_name_Hall '-P 4 2'
loop_
_atom_site_label
_atom_site_type_symbol
_atom_site_fract_x
_atom_site_fract_y
_atom_site_fract_z
_atom_site_occupancy
Rb1 Rb 0.000 0.000 0.000 1
Ga1 Ga 0.500 0.500 0.000 1
Ag1 Ag 0.000 0.000 0.500 1
Au1 Au 0.000 0.500 0.500 1

---

# Ce2Be3ZnSi4 PBE-GGA relaxed
# * electronic total energy: -49.72 eV for the cell shown
# * Fermi-level density of states: 11.1 states/eV per cell
# * uncorrected formation energy: -0.37 eV per atom
data_Ce2Be3ZnSi4
_cell_length_a 4.033
_cell_length_b 4.033
_cell_length_c 9.630
_cell_angle_alpha 90.00
_cell_angle_beta 90.00
_cell_angle_gamma 90.00
_symmetry_space_group_name_H-M 'P -4 m 2'
_symmetry_Int_Tables_number 115
loop_
_symmetry_equiv_pos_as_xyz
'x,y,z'
'y,-x,-z'
'-x,-y,z'
'-y,x,-z'
'-x,y,z'
'-y,-x,-z'
'x,-y,z'
'y,x,-z'
loop_
_atom_site_label
_atom_site_type_symbol
_atom_site_fract_x
_atom_site_fract_y
_atom_site_fract_z
_atom_site_occupancy
Ce1 Ce 0.000 0.500 0.241 1
Be1 Be 0.000 0.500 0.880 1
Be2 Be 0.500 0.500 0.500 1
Zn1 Zn 0.000 0.000 0.500 1
Si1 Si 0.000 0.000 0.000 1
Si2 Si 0.000 0.500 0.644 1
Si3 Si 0.500 0.500 0.000 1

---

# Pr6In3Hg PBE-GGA relaxed
# * E above lowest polymorph: 0.138 eV per atom
# * ΔE_f: -238 meV/atom
# * electronic total energy: -79.15 eV for the cell shown
# * Fermi-level density of states: 21.5 states/eV per cell
data_Pr6In3Hg
_cell_length_a 8.656
_cell_length_b 8.258
_cell_length_c 12.416
_cell_angle_alpha 90.00
_cell_angle_beta 132.04
_cell_angle_gamma 90.00
_symmetry_space_group_name_H-M 'P 1 21/c 1'
_symmetry_Int_Tables_number 14
loop_
_symmetry_equiv_pos_as_xyz
'x,y,z'
'-x,-y,-z'
'-x,y+1/2,-z+1/2'
'x,-y+1/2,z+1/2'
loop_
_atom_site_label
_atom_site_type_symbol
_atom_site_fract_x
_atom_site_fract_y
_atom_site_fract_z
_atom_site_occupancy
Pr1 Pr 0.002 0.104 0.262 1
Pr2 Pr 0.253 0.673 0.072 1
Pr3 Pr 0.414 0.146 0.062 1
In1 In 0.000 0.000 0.000 1
In2 In 0.268 0.162 0.720 1
Hg1 Hg 0.500 0.000 0.500 1

---

# NpAlSn2 PBE-GGA relaxed
# * E above lowest polymorph: 0.363 eV per atom
# * ΔE_f: 247 meV/atom
# * electronic total energy: -71.10 eV for the cell shown
# * Fermi-level density of states: 33.4 states/eV per cell
data_NpAlSn2
_cell_length_a 4.3060
_cell_length_b 4.3060
_cell_length_c 20.2542
_cell_angle_alpha 90.00
_cell_angle_beta 90.00
_cell_angle_gamma 120.00
_symmetry_space_group_name_H-M 'R 3 m'
_symmetry_Int_Tables_number 160
_symmetry_space_group_name_Hall 'R 3 -2"'
loop_
_atom_site_label
_atom_site_type_symbol
_atom_site_fract_x
_atom_site_fract_y
_atom_site_fract_z
_atom_site_occupancy
Np1 Np 0.0000 0.0000 0.0000 1
Al1 Al 0.0000 0.0000 0.8305 1
Sn1 Sn 0.0000 0.0000 0.4272 1
Sn2 Sn 0.0000 0.0000 0.5737 1

---

# LaPmTl4 PBE-GGA relaxed
# * ΔE_f: -181 meV/atom
# * electronic total energy: -80.92 eV for the cell shown
# * Fermi-level density of states: 24.0 states/eV per cell
data_LaPmTl4
_cell_length_a 8.894
_cell_length_b 8.894
_cell_length_c 8.894
_cell_angle_alpha 90.00
_cell_angle_beta 90.00
_cell_angle_gamma 90.00
_symmetry_space_group_name_H-M 'F -4 3 m'
_symmetry_Int_Tables_number 216
_symmetry_space_group_name_Hall 'F -4 2 3'
loop_
_atom_site_label
_atom_site_type_symbol
_atom_site_fract_x
_atom_site_fract_y
_atom_site_fract_z
_atom_site_occupancy
La1 La 0.000 0.000 0.000 1
Pm1 Pm 0.250 0.250 0.750 1
Tl1 Tl 0.125 0.125 0.375 1

---

# RbHfTi2Ge PBE-GGA relaxed
# * ΔE_f: 1569 meV/atom
# * electronic total energy: -23.48 eV for the cell shown
# * Fermi-level density of states: 8.5 states/eV per cell
data_RbHfTi2Ge
_cell_length_a 5.011
_cell_length_b 5.011
_cell_length_c 5.840
_cell_angle_alpha 90.00
_cell_angle_beta 90.00
_cell_angle_gamma 90.00
_symmetry_space_group_name_H-M 'P 4/m m m'
_symmetry_Int_Tables_number 123
_symmetry_space_group_name_Hall '-P 4 2'
loop_
_atom_site_label
_atom_site_type_symbol
_atom_site_fract_x
_atom_site_fract_y
_atom_site_fract_z
_atom_site_occupancy
Rb1 Rb 0.000 0.000 0.000 1
Hf1 Hf 0.000 0.000 0.500 1
Ti1 Ti 0.000 0.500 0.500 1
Ge1 Ge 0.500 0.500 0.000 1

---

# InPOs PBE-GGA relaxed
# * E above lowest polymorph: 0.000 eV per atom
# * ΔE_f: 65 meV/atom
# * electronic total energy: -38.37 eV for the cell shown
# * Fermi-level density of states: 1.4 states/eV per cell
data_InPOs
_cell_length_a 2.970
_cell_length_b 2.970
_cell_length_c 12.115
_cell_angle_alpha 90.00
_cell_angle_beta 90.00
_cell_angle_gamma 90.00
_symmetry_space_group_name_H-M 'I 4 m m'
_symmetry_Int_Tables_number 107
_symmetry_space_group_name_Hall 'I 4 -2'
loop_
_atom_site_label
_atom_site_type_symbol
_atom_site_fract_x
_atom_site_fract_y
_atom_site_fract_z
_atom_site_occupancy
In1 In 0.000 0.000 0.000 1
P1 P 0.000 0.000 0.278 1
Os1 Os 0.000 0.000 0.680 1

---

# RbCd2GaF8 PBE-GGA relaxed
# * electronic total energy: -49.60 eV for the cell shown
# * Fermi-level density of states: 0.0 states/eV per cell
# * uncorrected formation energy: -2.40 eV per atom
data_RbCd2GaF8
_cell_length_a 5.073
_cell_length_b 5.128
_cell_length_c 7.325
_cell_angle_alpha 89.60
_cell_angle_beta 89.74
_cell_angle_gamma 88.80
_symmetry_space_group_name_H-M 'P -1'
_symmetry_Int_Tables_number 2
loop_
_symmetry_equiv_pos_as_xyz
'x,y,z'
'-x,-y,-z'
loop_
_atom_site_label
_atom_site_type_symbol
_atom_site_fract_x
_atom_site_fract_y
_atom_site_fract_z
_atom_site_occupancy
Rb1 Rb 0.000 0.000 0.000 1
Cd1 Cd 0.499 0.499 0.257 1
Ga1 Ga 0.000 0.000 0.500 1
F1 F 0.166 0.788 0.683 1
F2 F 0.170 0.793 0.318 1
F3 F 0.296 0.258 0.501 1
F4 F 0.426 0.270 0.001 1

---

# AlIn2Br6 PBE-GGA relaxed
# * E above lowest polymorph: 0.076 eV per atom
# * electronic total energy: -52.33 eV for the cell shown
# * Fermi-level density of states: 7.3 states/eV per cell
# * uncorrected formation energy: -0.77 eV per atom
data_AlIn2Br6
_cell_length_a 7.158
_cell_length_b 7.158
_cell_length_c 11.654
_cell_angle_alpha 90.00
_cell_angle_beta 90.00
_cell_angle_gamma 90.00
_symmetry_space_group_name_H-M 'P 42/m n m'
_symmetry_Int_Tables_number 136
_symmetry_space_group_name_Hall '-P 4n 2n'
loop_
_atom_site_label
_atom_site_type_symbol
_atom_site_fract_x
_atom_site_fract_y
_atom_site_fract_z
_atom_site_occupancy
Al1 Al 0.000 0.000 0.000 1
In1 In 0.000 0.000 0.353 1
Br1 Br 0.181 0.181 0.157 1
Br2 Br 0.242 0.758 0.000 1